{
  "formula": "PaGeSe3",
  "functional": "PBE-GGA",
  "state": "relaxed",
  "raw_formation_energy_kcal_per_mol_atoms": -20.91,
  "final_energy_ev_per_fu": -29.10,
  "spacegroup": "Pmc2_1",
  "magmom_total_mub_per_atom": 0.1571,
  "e_above_lowest_polymorph_mev_per_atom": 0,
  "lattice": [[-3.809, 0.504, -0.478], [-1.083, -7.280, 0.955], [-1.103, 1.528, 10.393]],
  "species": ["Se", "Se", "Se", "Se", "Se", "Se", "Ge", "Ge", "Pa", "Pa"],
  "frac_coords": [[0.000, 0.144, 0.295], [0.500, 0.731, 0.200], [0.500, 0.483, 0.458], [0.000, 0.644, 0.705], [0.500, 0.231, 0.800], [0.500, 0.983, 0.542], [0.500, 0.061, 0.145], [0.500, 0.561, 0.855], [0.000, 0.776, 0.404], [0.000, 0.276, 0.596]]
}